# 1
Below is BRh3W after structural relaxation, with properties calculated at the GGA-PBE level.

Properties
space group = Pm-3m, No. 221
theoretical density = 8.067 g/cm3
relative energy among the computed polymorphs = 1868 meV per atom
energy relative to the elements = 192.18 kJ/mol of atoms
DOS at the Fermi energy = 3.69 states/eV/cell

Cell: 4.697 4.697 4.697 Å, 90.00 90.00 90.00°
Atoms (fractional coordinates):
B 0.000 0.000 0.000
Rh 0.000 0.500 0.500
Rh 0.500 0.000 0.500
Rh 0.500 0.500 0.000
W 0.500 0.500 0.500

=====

# 2
Below is Zr2BRhW after structural relaxation, with properties calculated at the GGA-PBE level.

Properties
space group = P4/mmm, No. 123
theoretical density = 7.733 g/cm3
energy relative to the elements = 97.09 kJ/mol of atoms
DOS at the Fermi energy = 2.80 states/eV/cell

Cell: 5.049 5.049 4.044 Å, 90.00 90.00 90.00°
Atoms (fractional coordinates):
Zr 0.000 0.500 0.000
Zr 0.500 0.000 0.000
B 0.000 0.000 0.500
Rh 0.500 0.500 0.500
W 0.000 0.000 0.000